Entry 1:
# Er2SiO5

A geometry-optimized Er2SiO5 structure (GGA-PBE, the Alexandria database).

Unit cell a=10.0940 b=3.6367 c=10.7602 alpha=90.00 beta=90.00 gamma=90.00
With the nearest neighbours (Å) after each atom.
Space group Pnma (No. 62)
Unique sites:
Er (0.1023, 0.2500, 0.2161) x4  7 O 2.23-2.44
Er (0.1394, 0.2500, 0.5519) x4  7 O 2.26-2.34
Si (0.1810, 0.2500, 0.8726) x4  3 O 1.64-1.72
O (0.0094, 0.7500, 0.6056) x4  4 Er 2.23-2.32
O (0.0214, 0.2500, 0.8441) x4  1 Si 1.64
O (0.2221, 0.2500, 0.0263) x4  1 Si 1.71
O (0.2252, 0.7500, 0.8752) x4  2 Si 1.87
O (0.2364, 0.7500, 0.2328) x4  1 Si 1.72

As for the energy relative to the lowest polymorph listed for this composition: 76 meV per atom. The value obtained for the total energy is -8.244 eV/atom. Its crystal system is orthorhombic.



Entry 2:
# Pr4ErTm3Se8

A geometry-optimized Pr4ErTm3Se8 structure (GGA-PBE, the Alexandria database).

Unit cell a=8.1279 b=8.1279 c=21.1506 alpha=90.00 beta=90.00 gamma=120.00
With the nearest neighbours (Å) after each atom.
Space group R-3m (No. 166, hexagonal axes)
Unique sites:
Pr (0.0000, 0.0000, 0.0000) x3  6 Se 3.03
Pr (0.0000, 0.5000, 0.0000) x9  6 Se 3.04
Er (0.0000, 0.0000, 0.5000) x3  6 Se 2.84
Tm (0.0000, 0.5000, 0.5000) x9  6 Se 2.83
Se (0.0000, 0.0000, 0.2419) x6  3 Tm 2.83, 3 Pr 3.04
Se (0.0011, 0.5005, 0.7579) x18  2 Tm 2.83, 1 Er 2.84, 3 Pr 3.03-3.04

The value obtained for the total energy is -5.830 eV/atom. Its crystal system is trigonal.



| no. | formation energy from raw total energies (meV/atom) |
| --- | --- |
| 1 | -3326 |
| 2 | -1769 |